Record 1
6
Lattice="2.960 0.000 0.000 0.000 2.950 0.000 0.000 -1.475 4.796" Properties=species:S:1:pos:R:3 comment="NbH5 (PBE-GGA, relaxed)" final_energy_ev_per_atom=-4.339 m_tot_mub_per_fu=0.000 space_group="No. 65" pbc="T T T"
H 1.480 0.000 1.285
H 1.480 1.475 3.511
H 0.000 1.475 1.301
H 0.000 0.000 3.494
H 1.480 1.475 0.000
Nb 0.000 0.000 0.000


Record 2
5
Lattice="4.902 0.000 0.000 0.000 4.902 0.000 2.451 2.451 3.150" Properties=species:S:1:pos:R:3 comment="Hf2Fe2B (PBE-GGA, relaxed)" m_tot_mub_per_fu=0.255 polymorph_energy_ev_per_atom=0.3306 delta_e_f_ev_per_atom=0.30 space_group="No. 139" pbc="T T T"
Fe 2.451 2.451 1.198
Fe 4.902 4.902 1.952
Hf 2.451 4.902 1.575
Hf 4.902 2.451 1.575
B 0.000 0.000 0.000